# 1
## CuP2Pt4 (PBE)

Data for a relaxed CuP2Pt4 crystal.

The structure in extended XYZ format:
```
14
Lattice="5.400 1.072 -2.129 -2.167 5.059 -2.138 -0.127 -0.227 7.341" Properties=species:S:1:pos:R:3 pbc="T T T"
Pt 0.986 0.507 4.712
Pt 0.909 4.179 3.975
Pt 3.141 3.823 1.275
Pt 1.733 1.151 1.802
Pt 3.253 4.799 -1.637
Pt 4.289 2.179 -0.735
Pt 0.181 2.788 -0.906
Pt 3.734 1.134 3.816
P -0.003 2.052 3.350
P 2.120 1.488 -0.541
P 1.418 4.744 -0.277
P 3.078 3.314 3.617
Cu -1.484 4.699 -2.136
Cu 0.342 3.588 1.535
```

Computed properties:
Space-group type: Fdd2, No. 43
Crystal system: orthorhombic
ΔE_f, eV per atom: -0.31
Spin magnetization, μB per formula unit: 0.00

---

# 2
## Pu2CuP3Pt4 (PBE)

Data for a relaxed Pu2CuP3Pt4 crystal.

The structure in extended XYZ format:
```
10
Lattice="4.235 0.000 0.000 0.000 4.235 0.000 0.000 0.000 9.736" Properties=species:S:1:pos:R:3 pbc="T T T"
Pt 2.118 0.000 6.116
Pt 2.118 2.118 0.000
Pt 0.000 2.118 3.619
Pt 0.000 0.000 0.000
Pu 0.000 2.118 7.239
Pu 2.118 0.000 2.496
P 2.118 0.000 8.438
P 0.000 2.118 1.298
P 0.000 0.000 4.868
Cu 2.118 2.118 4.868
```

Computed properties:
Space-group type: P-4m2, No. 115
Crystal system: tetragonal
ΔE_f, eV per atom: -0.69
Spin magnetization, μB per formula unit: 10.61

---

# 3
## RbCuPPt2 (PBE)

Data for a relaxed RbCuPPt2 crystal.

The structure in extended XYZ format:
```
5
Lattice="4.505 0.000 0.000 0.000 6.312 0.000 0.000 0.000 4.505" Properties=species:S:1:pos:R:3 pbc="T T T"
P 0.000 0.000 0.000
Rb 0.000 3.156 0.000
Pt 2.253 0.000 0.000
Pt 0.000 0.000 2.253
Cu 2.253 3.156 2.253
```

Computed properties:
Space-group type: P4/mmm, No. 123
Crystal system: tetragonal
ΔE_f, eV per atom: 0.47
Spin magnetization, μB per formula unit: 0.66

---

# 4
## RbCuP2Pt4 (PBE)

Data for a relaxed RbCuP2Pt4 crystal.

The structure in extended XYZ format:
```
8
Lattice="4.039 0.000 0.000 0.000 4.039 0.000 0.000 0.000 9.975" Properties=species:S:1:pos:R:3 pbc="T T T"
P 2.019 2.019 2.818
P 2.019 2.019 7.157
Pt 0.000 2.019 8.319
Pt 2.019 0.000 1.655
Pt 2.019 0.000 8.319
Pt 0.000 2.019 1.655
Cu 0.000 0.000 0.000
Rb 0.000 0.000 4.987
```

Computed properties:
Space-group type: P4/mmm, No. 123
Crystal system: tetragonal
ΔE_f, eV per atom: -0.41
Spin magnetization, μB per formula unit: 0.00

---

# 5
## CuPRu2Pt (PBE)

Data for a relaxed CuPRu2Pt crystal.

The structure in extended XYZ format:
```
5
Lattice="4.321 0.000 0.000 0.000 4.224 0.000 0.000 0.000 4.321" Properties=species:S:1:pos:R:3 pbc="T T T"
P 0.000 0.000 0.000
Cu 0.000 2.112 0.000
Pt 2.160 2.112 2.160
Ru 2.160 0.000 0.000
Ru 0.000 0.000 2.160
```

Computed properties:
Space-group type: P4/mmm, No. 123
Crystal system: tetragonal
ΔE_f, eV per atom: 0.45
Spin magnetization, μB per formula unit: 0.00

---

# 6
## Sm2CuP4Pt3 (PBE)

Data for a relaxed Sm2CuP4Pt3 crystal.

The structure in extended XYZ format:
```
10
Lattice="-0.471 0.112 -4.262 -4.108 -1.160 0.423 -2.515 9.093 0.518" Properties=species:S:1:pos:R:3 pbc="T T T"
P 0.000 0.000 0.000
P -1.817 5.774 -1.805
P -2.289 -0.524 -1.919
P -2.987 2.794 0.404
Cu -3.547 4.022 -1.661
Pt -2.457 8.088 -1.674
Pt -2.347 0.480 0.272
Pt -1.258 4.546 0.259
Sm -3.947 6.262 0.601
Sm -0.858 2.306 -2.003
```

Computed properties:
Space-group type: P-4m2, No. 115
Crystal system: tetragonal
ΔE_f, eV per atom: -0.92
Spin magnetization, μB per formula unit: 0.00